No. 1
A plane-wave DFT calculation with PBE was carried out for crystalline Cd2Ag6Pb at its relaxed geometry.

Cell lengths 7.9379, 7.9379, 4.8683 Å; angles 107.77, 107.77, 42.06 degrees
Positions (direct):
Cd 0.1185 0.1185 0.1187
Cd 0.8815 0.8815 0.8813
Ag 0.0502 0.5518 0.3007
Ag 0.2354 0.7646 0.5000
Ag 0.4482 0.9498 0.6993
Ag 0.5518 0.0502 0.3007
Ag 0.7646 0.2354 0.5000
Ag 0.9498 0.4482 0.6993
Pb 0.5000 0.5000 0.0000

## Properties
* energy of formation: 0.136 eV/atom
* volume: 194.2 Å³ per cell

No. 2
A plane-wave DFT calculation with PBE was carried out for crystalline Cd6AgPb at its relaxed geometry.

Cell lengths 9.9013, 4.4888, 9.1459 Å; angles 90.00, 114.11, 90.00 degrees
Positions (direct):
Cd 0.0031 0.0000 0.2304
Cd 0.2415 0.5000 0.3490
Cd 0.2488 0.5000 0.8876
Cd 0.2512 0.0000 0.1124
Cd 0.2585 0.0000 0.6510
Cd 0.4969 0.5000 0.7696
Cd 0.5031 0.5000 0.2304
Cd 0.7415 0.0000 0.3490
Cd 0.7488 0.0000 0.8876
Cd 0.7512 0.5000 0.1124
Cd 0.7585 0.5000 0.6510
Cd 0.9969 0.0000 0.7696
Ag 0.0000 0.5000 0.0000
Ag 0.5000 0.0000 0.0000
Pb 0.0000 0.5000 0.5000
Pb 0.5000 0.0000 0.5000

## Properties
* energy of formation: 0.023 eV/atom
* E above lowest polymorph: 0.000 eV/atom
* volume: 371.0 Å³ per cell

No. 3
A plane-wave DFT calculation with PBE was carried out for crystalline CdAg2Pb at its relaxed geometry.

Cell lengths 3.2271, 3.2271, 29.3163 Å; angles 90.00, 90.00, 120.00 degrees
Positions (direct):
Cd 0.0000 0.0000 0.0000
Cd 0.3333 0.6667 0.6667
Cd 0.6667 0.3333 0.3333
Ag 0.0000 0.0000 0.2548
Ag 0.0000 0.0000 0.7452
Ag 0.3333 0.6667 0.4119
Ag 0.3333 0.6667 0.9215
Ag 0.6667 0.3333 0.0785
Ag 0.6667 0.3333 0.5881
Pb 0.0000 0.0000 0.5000
Pb 0.3333 0.6667 0.1667
Pb 0.6667 0.3333 0.8333

## Properties
* energy of formation: 0.066 eV/atom
* volume: 264.4 Å³ per cell

No. 4
A plane-wave DFT calculation with PBE was carried out for crystalline Cd9Ag2Pb at its relaxed geometry.

Cell lengths 9.3217, 9.3217, 9.3217 Å; angles 99.65, 99.65, 131.66 degrees
Positions (direct):
Cd 0.0577 0.2270 0.4280
Cd 0.0577 0.6297 0.8307
Cd 0.2270 0.0577 0.9280
Cd 0.2270 0.2990 0.1693
Cd 0.2990 0.2270 0.6693
Cd 0.2990 0.6297 0.0720
Cd 0.3703 0.7010 0.4280
Cd 0.3703 0.9423 0.6693
Cd 0.3750 0.6250 0.7500
Cd 0.6250 0.3750 0.2500
Cd 0.6297 0.0577 0.3307
Cd 0.6297 0.2990 0.5720
Cd 0.7010 0.3703 0.9280
Cd 0.7010 0.7730 0.3307
Cd 0.7730 0.7010 0.8307
Cd 0.7730 0.9423 0.0720
Cd 0.9423 0.3703 0.1693
Cd 0.9423 0.7730 0.5720
Ag 0.0000 0.5000 0.5000
Ag 0.5000 0.0000 0.0000
Ag 0.5000 0.5000 0.0000
Ag 0.5000 0.5000 0.5000
Pb 0.1250 0.8750 0.2500
Pb 0.8750 0.1250 0.7500

## Properties
* energy of formation: 0.020 eV/atom
* volume: 552.1 Å³ per cell

No. 5
A plane-wave DFT calculation with PBE was carried out for crystalline CdAg2Pb at its relaxed geometry.

Cell lengths 3.3099, 4.7610, 5.8839 Å; angles 90.00, 105.62, 90.00 degrees
Positions (direct):
Cd 0.0000 0.0000 0.0000
Ag 0.2809 0.0000 0.5549
Ag 0.4265 0.5000 0.8460
Pb 0.6903 0.5000 0.3651

## Properties
* energy of formation: 0.054 eV/atom
* volume: 89.3 Å³ per cell

No. 6
A plane-wave DFT calculation with PBE was carried out for crystalline CdAg3Pb at its relaxed geometry.

Cell lengths 5.1648, 5.1648, 5.1648 Å; angles 90.00, 90.00, 90.00 degrees
Positions (direct):
Cd 0.0000 0.0000 0.0000
Ag 0.0000 0.0000 0.5000
Ag 0.0000 0.5000 0.0000
Ag 0.5000 0.0000 0.0000
Pb 0.5000 0.5000 0.5000

## Properties
* energy of formation: 0.509 eV/atom
* E above lowest polymorph: 0.000 eV/atom
* volume: 137.8 Å³ per cell